Density functional theory data (GGA-PBE) for LaPr6SmTm2 after structural relaxation.

abc: 8.9985 8.9985 9.8540
angles: 94.23 94.23 116.98
Fractional positions:
1 La 0.0945 0.9055 0.7500
2 La 0.9055 0.0945 0.2500
3 Pr 0.0114 0.7975 0.3799
4 Pr 0.0644 0.5155 0.1817
5 Pr 0.2025 0.9886 0.1201
6 Pr 0.2597 0.6067 0.5560
7 Pr 0.3933 0.7403 0.9440
8 Pr 0.4845 0.9356 0.3183
9 Pr 0.5155 0.0644 0.6817
10 Pr 0.6067 0.2597 0.0560
11 Pr 0.7403 0.3933 0.4440
12 Pr 0.7975 0.0114 0.8799
13 Pr 0.9356 0.4845 0.8183
14 Pr 0.9886 0.2025 0.6201
15 Sm 0.4681 0.5319 0.2500
16 Sm 0.5319 0.4681 0.7500
17 Tm 0.2097 0.3043 0.9515
18 Tm 0.3043 0.2097 0.4515
19 Tm 0.6957 0.7903 0.5485
20 Tm 0.7903 0.6957 0.0485

Output
- Total DFT energy (no corrections): -92.4 eV/cell
- N(E_F): 1.481 states/eV per atom
- Symmetry: No. 15